Material: LaNiBiPb2
Method: DFT, PBE
State: relaxed

Unit cell a=5.122 b=5.122 c=5.433 alpha=90.00 beta=90.00 gamma=90.00
Fractional coordinates of all 5 atoms:
La 0.000 0.000 0.000
Ni 0.000 0.000 0.500
Bi 0.500 0.500 0.000
Pb 0.000 0.500 0.500
Pb 0.500 0.000 0.500

Results
electronic total energy: -4.6928 eV per atom

Material: La2NiBiSb
Method: DFT, PBE
State: relaxed

Unit cell a=6.123 b=6.123 c=4.698 alpha=90.00 beta=90.00 gamma=90.00
Fractional coordinates of all 5 atoms:
La 0.000 0.500 0.000
La 0.500 0.000 0.000
Ni 0.000 0.000 0.500
Bi 0.000 0.000 0.000
Sb 0.500 0.500 0.500

Results
raw formation energy: -0.110 eV per atom

Material: La2NiSnBi
Method: DFT, PBE
State: relaxed

Unit cell a=5.509 b=5.509 c=4.812 alpha=90.00 beta=90.00 gamma=90.00
Fractional coordinates of all 5 atoms:
La 0.000 0.500 0.000
La 0.500 0.000 0.000
Ni 0.000 0.000 0.000
Sn 0.000 0.000 0.500
Bi 0.500 0.500 0.500

Results
electronic total energy: -5.3063 eV per atom

Material: LaNiSn2Bi
Method: DFT, PBE
State: relaxed

Unit cell a=4.979 b=4.979 c=5.405 alpha=90.00 beta=90.00 gamma=90.00
Fractional coordinates of all 5 atoms:
La 0.000 0.000 0.000
Ni 0.000 0.000 0.500
Sn 0.000 0.500 0.500
Sn 0.500 0.000 0.500
Bi 0.500 0.500 0.000

Results
electronic total energy: -4.9319 eV per atom

Material: LaTi2NiBi
Method: DFT, PBE
State: relaxed

Unit cell a=5.303 b=5.303 c=4.829 alpha=90.00 beta=90.00 gamma=90.00
Fractional coordinates of all 5 atoms:
La 0.000 0.000 0.000
Ti 0.000 0.500 0.500
Ti 0.500 0.000 0.500
Ni 0.500 0.500 0.000
Bi 0.500 0.500 0.500

Results
electronic total energy: -5.3670 eV per atom

Material: La2TlNiBi
Method: DFT, PBE
State: relaxed

Unit cell a=5.464 b=5.464 c=4.964 alpha=90.00 beta=90.00 gamma=90.00
Fractional coordinates of all 5 atoms:
La 0.000 0.500 0.000
La 0.500 0.000 0.000
Tl 0.000 0.000 0.500
Ni 0.000 0.000 0.000
Bi 0.500 0.500 0.500

Results
electronic total energy: -4.8819 eV per atom

Material: LaTl2NiBi
Method: DFT, PBE
State: relaxed

Unit cell a=5.101 b=5.101 c=5.329 alpha=90.00 beta=90.00 gamma=90.00
Fractional coordinates of all 5 atoms:
La 0.000 0.000 0.000
Tl 0.000 0.500 0.500
Tl 0.500 0.000 0.500
Ni 0.000 0.000 0.500
Bi 0.500 0.500 0.000

Results
electronic total energy: -4.1962 eV per atom

Material: La2YNiBi
Method: DFT, PBE
State: relaxed

Unit cell a=5.320 b=5.320 c=5.469 alpha=90.00 beta=90.00 gamma=90.00
Fractional coordinates of all 5 atoms:
La 0.000 0.500 0.000
La 0.500 0.000 0.000
Y 0.000 0.000 0.500
Ni 0.000 0.000 0.000
Bi 0.500 0.500 0.500

Results
electronic total energy: -5.6461 eV per atom

Material: LaNpBiO6
Method: DFT, PBE
State: relaxed

Unit cell a=6.029 b=6.029 c=9.268 alpha=90.00 beta=90.00 gamma=120.00
Fractional coordinates of all 18 atoms:
La 0.333 0.667 0.250
La 0.667 0.333 0.750
Np 0.333 0.667 0.750
Np 0.667 0.333 0.250
Bi 0.000 0.000 0.000
Bi 0.000 0.000 0.500
O 0.042 0.368 0.632
O 0.042 0.674 0.868
O 0.326 0.368 0.868
O 0.326 0.958 0.632
O 0.368 0.042 0.132
O 0.368 0.326 0.368
O 0.632 0.674 0.632
O 0.632 0.958 0.868
O 0.674 0.042 0.368
O 0.674 0.632 0.132
O 0.958 0.326 0.132
O 0.958 0.632 0.368

Results
raw formation energy: -2.511 eV per atom

Material: La2NpBiO8
Method: DFT, PBE
State: relaxed

Unit cell a=4.056 b=7.717 c=5.639 alpha=90.00 beta=95.52 gamma=90.00
Fractional coordinates of all 12 atoms:
La 0.000 0.246 0.000
La 0.000 0.754 0.000
Np 0.500 0.500 0.500
Bi 0.500 0.000 0.500
O 0.002 0.000 0.752
O 0.065 0.500 0.287
O 0.462 0.286 0.727
O 0.462 0.714 0.727
O 0.538 0.286 0.273
O 0.538 0.714 0.273
O 0.935 0.500 0.713
O 0.998 0.000 0.248

Results
raw formation energy: -2.672 eV per atom

Material: La2Bi7O14
Method: DFT, PBE
State: relaxed

Unit cell a=7.044 b=7.188 c=10.206 alpha=71.60 beta=71.96 gamma=61.19
Fractional coordinates of all 23 atoms:
La 0.000 0.000 0.000
La 0.311 0.338 0.024
Bi 0.151 0.787 0.689
Bi 0.287 0.528 0.353
Bi 0.446 0.079 0.691
Bi 0.575 0.864 0.367
Bi 0.624 0.709 0.048
Bi 0.730 0.366 0.694
Bi 0.927 0.228 0.345
O 0.001 0.208 0.132
O 0.068 0.689 0.922
O 0.095 0.103 0.740
O 0.121 0.409 0.266
O 0.242 0.918 0.413
O 0.322 0.657 0.127
O 0.382 0.405 0.721
O 0.383 0.008 0.925
O 0.504 0.184 0.422
O 0.510 0.758 0.656
O 0.612 0.972 0.134
O 0.616 0.558 0.291
O 0.675 0.329 0.913
O 0.780 0.030 0.682

Results
raw formation energy: -1.658 eV per atom

Material: LaBi2O4
Method: DFT, PBE
State: relaxed

Unit cell a=9.517 b=9.517 c=9.517 alpha=24.38 beta=24.38 gamma=24.38
Fractional coordinates of all 7 atoms:
La 0.000 0.000 0.000
Bi 0.222 0.222 0.222
Bi 0.778 0.778 0.778
O 0.096 0.096 0.096
O 0.300 0.300 0.300
O 0.700 0.700 0.700
O 0.904 0.904 0.904

Results
raw formation energy: -1.872 eV per atom

What did the twelfth record say?
Material: LaBi2O4
Method: DFT, PBE
State: relaxed

Unit cell a=9.517 b=9.517 c=9.517 alpha=24.38 beta=24.38 gamma=24.38
Fractional coordinates of all 7 atoms:
La 0.000 0.000 0.000
Bi 0.222 0.222 0.222
Bi 0.778 0.778 0.778
O 0.096 0.096 0.096
O 0.300 0.300 0.300
O 0.700 0.700 0.700
O 0.904 0.904 0.904

Results
raw formation energy: -1.872 eV per atom